Record 1
Computed, not measured: La4SiSeBr2 after structural relaxation at the PBE-GGA level of DFT.

Values from the calculation:
Total magnetic moment ... 0.0000 μB per atom
Calculated volume ... 238.6 Å³/cell
DOS(E_F) ... 4.2 states/eV per cell
Uncorrected formation energy ... -1428 meV per atom
DFT total energy ... -0.199 hartree per atom

Geometry as CIF:
```
data_La4SiSeBr2
_chemical_formula_sum 'La4 Si1 Se1 Br2'
_cell_length_a 7.536
_cell_length_b 4.366
_cell_length_c 7.682
_cell_angle_alpha 90.00
_cell_angle_beta 109.27
_cell_angle_gamma 90.00
_symmetry_space_group_name_H-M 'P 1 2/m 1'
_symmetry_Int_Tables_number 10
loop_
_symmetry_equiv_pos_as_xyz
'x,y,z'
'-x,-y,-z'
'-x,y,-z'
'x,-y,z'
loop_
_atom_site_label
_atom_site_type_symbol
_atom_site_fract_x
_atom_site_fract_y
_atom_site_fract_z
_atom_site_occupancy
La1 La 0.231 0.000 0.218 1
La2 La 0.251 0.500 0.781 1
Si1 Si 0.000 0.500 0.000 1
Se1 Se 0.500 0.000 0.000 1
Br1 Br 0.000 0.000 0.500 1
Br2 Br 0.500 0.500 0.500 1
```

Record 2
Computed, not measured: La4SnSe2Br after structural relaxation at the PBE-GGA level of DFT.

Values from the calculation:
Total magnetic moment ... 0.0000 μB per atom
Calculated volume ... 244.9 Å³/cell
DOS(E_F) ... 4.4 states/eV per cell
Uncorrected formation energy ... -1545 meV per atom
DFT total energy ... -0.205 hartree per atom

Geometry as CIF:
```
data_La4SnSe2Br
_chemical_formula_sum 'La4 Sn1 Se2 Br1'
_cell_length_a 7.605
_cell_length_b 4.428
_cell_length_c 7.705
_cell_angle_alpha 90.00
_cell_angle_beta 109.31
_cell_angle_gamma 90.00
_symmetry_space_group_name_H-M 'P 1 2/m 1'
_symmetry_Int_Tables_number 10
loop_
_symmetry_equiv_pos_as_xyz
'x,y,z'
'-x,-y,-z'
'-x,y,-z'
'x,-y,z'
loop_
_atom_site_label
_atom_site_type_symbol
_atom_site_fract_x
_atom_site_fract_y
_atom_site_fract_z
_atom_site_occupancy
La1 La 0.237 0.000 0.229 1
La2 La 0.252 0.500 0.766 1
Sn1 Sn 0.000 0.000 0.500 1
Se1 Se 0.000 0.500 0.000 1
Se2 Se 0.500 0.000 0.000 1
Br1 Br 0.500 0.500 0.500 1
```

Record 3
Computed, not measured: LaSnSeBr2 after structural relaxation at the PBE-GGA level of DFT.

Values from the calculation:
Total magnetic moment ... 0.1843 μB per atom
Energy relative to the lowest polymorph listed for this composition ... 361.0 meV/atom
Calculated volume ... 173.9 Å³/cell
DOS(E_F) ... 7.7 states/eV per cell
Uncorrected formation energy ... -541 meV per atom
DFT total energy ... -0.136 hartree per atom

Geometry as CIF:
```
data_LaSnSeBr2
_chemical_formula_sum 'La1 Sn1 Se1 Br2'
_cell_length_a 5.553
_cell_length_b 5.553
_cell_length_c 5.641
_cell_angle_alpha 90.00
_cell_angle_beta 90.00
_cell_angle_gamma 90.00
_symmetry_space_group_name_H-M 'P 4/m m m'
_symmetry_Int_Tables_number 123
_symmetry_space_group_name_Hall '-P 4 2'
loop_
_atom_site_label
_atom_site_type_symbol
_atom_site_fract_x
_atom_site_fract_y
_atom_site_fract_z
_atom_site_occupancy
La1 La 0.000 0.000 0.000 1
Sn1 Sn 0.500 0.500 0.500 1
Se1 Se 0.500 0.500 0.000 1
Br1 Br 0.000 0.500 0.500 1
```

Record 4
Computed, not measured: LaSnSeBr2 after structural relaxation at the PBE-GGA level of DFT.

Values from the calculation:
Total magnetic moment ... 0.0000 μB per atom
Energy relative to the lowest polymorph listed for this composition ... 0.0 meV/atom
Calculated volume ... 194.4 Å³/cell
DOS(E_F) ... 4.5 states/eV per cell
Uncorrected formation energy ... -902 meV per atom
DFT total energy ... -0.149 hartree per atom

Geometry as CIF:
```
data_LaSnSeBr2
_chemical_formula_sum 'La1 Sn1 Se1 Br2'
_cell_length_a 5.793
_cell_length_b 5.793
_cell_length_c 5.792
_cell_angle_alpha 90.00
_cell_angle_beta 90.00
_cell_angle_gamma 90.00
_symmetry_space_group_name_H-M 'P 4/m m m'
_symmetry_Int_Tables_number 123
_symmetry_space_group_name_Hall '-P 4 2'
loop_
_atom_site_label
_atom_site_type_symbol
_atom_site_fract_x
_atom_site_fract_y
_atom_site_fract_z
_atom_site_occupancy
La1 La 0.000 0.000 0.000 1
Sn1 Sn 0.500 0.500 0.500 1
Se1 Se 0.000 0.000 0.500 1
Br1 Br 0.000 0.500 0.000 1
```